# LiSc2As2 PBE relaxed
data_LiSc2As2
_space_group_name_H-M_alt 'P 4/m b m'
_space_group_IT_number 127
_space_group_name_Hall '-P 4 2ab'
_cell_length_a 7.255
_cell_length_b 7.255
_cell_length_c 3.652
_cell_angle_alpha 90.00
_cell_angle_beta 90.00
_cell_angle_gamma 90.00
loop_
_atom_site_label
_atom_site_fract_x
_atom_site_fract_y
_atom_site_fract_z
_atom_site_occupancy
Li1 0.000 0.000 0.000 1
Sc1 0.152 0.348 0.500 1
As1 0.157 0.657 0.000 1
# **Magnetization**: 0.00 μB per cell
# **Volume**: 19.2 A^3/atom
# **ΔE_f**: -1.009 eV/atom
# **Relative energy among the computed polymorphs**: 0 meV per atom